Here is TbNdSe2 after structural relaxation from Alexandria via LeMat-Bulk. Energies are from PBE.

Results
Total magnetic moment, μB/f.u.: 0.0
Uncorrected energy, eV/f.u.: -23.50
Energy above the lowest structure with this stoichiometry, meV/atom: 26.9
Crystal system: hexagonal
SG: P6_3/mmc (194)
Energy relative to the elements, uncorrected, meV per atom: -1782

Cell: 4.074 4.074 14.249 Å, 90.00 90.00 120.00°
Sites, in units of the cell vectors:
Tb 0.333 0.667 0.250
Tb 0.667 0.333 0.750
Nd 0.000 0.000 0.000
Nd 0.000 0.000 0.500
Se 0.333 0.667 0.628
Se 0.333 0.667 0.872
Se 0.667 0.333 0.128
Se 0.667 0.333 0.372